Computed, not measured: Cd2Ga2Au3 after structural relaxation at the PBE-GGA level of DFT.

- SG: P2_1/c (14)
- ΔE_f: -16.25 kJ per mole of atoms
- Total moment: 0.0 μB per cell
- Polymorph energy (0 for the lowest one): 0.0 meV/atom

```
14
Lattice="5.3246 0.0000 0.0000 0.0000 7.4948 0.0000 -0.5582 0.0000 7.0064" Properties=species:S:1:pos:R:3 pbc="T T T"
Cd 0.5181 1.0619 1.0027
Cd 0.2390 2.6855 4.5059
Cd 4.5274 4.8093 2.5005
Cd 4.2483 6.4329 6.0038
Ga 1.5641 5.2488 6.8860
Ga 1.8432 5.9933 3.3828
Ga 2.9233 1.5014 3.6236
Ga 3.2024 2.2459 0.1204
Au -0.2791 0.0000 3.5032
Au 0.0000 3.7474 0.0000
Au 1.6076 0.2960 5.6413
Au 1.8867 3.4514 2.1381
Au 2.8798 4.0434 4.8683
Au 3.1588 7.1988 1.3651
```


Computed, not measured: Cd2GaAu after structural relaxation at the PBE-GGA level of DFT.

- SG: P4/mmm (123)
- ΔE_f: -5.00 kJ per mole of atoms
- Total moment: 0.0 μB per cell

```
4
Lattice="3.7403 0.0000 0.0000 0.0000 3.7403 0.0000 0.0000 0.0000 5.7798" Properties=species:S:1:pos:R:3 pbc="T T T"
Cd 0.0000 0.0000 1.4335
Cd 0.0000 0.0000 4.3463
Ga 1.8701 1.8701 2.8899
Au 1.8701 1.8701 0.0000
```


Computed, not measured: Cd4GaAu2 after structural relaxation at the PBE-GGA level of DFT.

- SG: R-3m (166)
- ΔE_f: -8.80 kJ per mole of atoms
- Total moment: 0.0 μB per cell

```
7
Lattice="2.2974 1.3264 8.9938 -2.2974 1.3264 8.9938 0.0000 -2.6528 8.9938" Properties=species:S:1:pos:R:3 pbc="T T T"
Cd 0.0000 0.0000 3.1237
Cd 0.0000 0.0000 8.0992
Cd 0.0000 0.0000 18.8823
Cd 0.0000 0.0000 23.8579
Ga 0.0000 0.0000 13.4908
Au 0.0000 0.0000 10.9453
Au 0.0000 0.0000 16.0362
```


The lowest ΔE_f belongs to which entry?
Cd2Ga2Au3